# 1
Below is LaCe2TlIr after structural relaxation, with properties calculated at the GGA-PBE level.

The space group is P4mm (No. 99) and the conventional cell measures 5.398, 5.398 and 5.757 Å, with angles of 90.00, 90.00 and 90.00 degrees. The inequivalent atoms are La at (0.000, 0.000, 0.000), Ce at (0.000, 0.500, 0.499), Tl at (0.500, 0.500, 0.003) and Ir at (0.000, 0.000, 0.500).

The calculation puts the total energy at -5.92 eV/atom. For the formation energy, the calculation gives -311 meV/atom. Its magnetization is 2.08 Bohr magnetons per cell. For the density, the calculation gives 8.07 Mg/m³. As for the density of states at the Fermi level: 2.8550 states/eV per atom.


# 2
Below is Li2Ce5Ir5 after structural relaxation, with properties calculated at the GGA-PBE level.

The space group is C2/m (No. 12) and the conventional cell measures 12.466, 4.031 and 11.716 Å, with angles of 90.00, 117.57 and 90.00 degrees. The inequivalent atoms are Li at (0.080, 0.000, 0.240), Ce at (0.000, 0.500, 0.000), Ce at (0.131, 0.500, 0.471), Ce at (0.175, 0.500, 0.798), Ir at (0.000, 0.000, 0.500), Ir at (0.142, 0.000, 0.947) and Ir at (0.249, 0.500, 0.325).

The calculation puts the total energy at -6.99 eV/atom. For the formation energy, the calculation gives -511 meV/atom. Its magnetization is 2.68 Bohr magnetons per cell. For the density, the calculation gives 10.66 Mg/m³. As for the density of states at the Fermi level: 1.5173 states/eV per atom.